NaSr2LiO: optimized geometry, PBE.

a b c (Å): 5.114 5.114 5.396
angles (deg): 90.00 90.00 90.00
Atoms (fractional coordinates):
Sr (0.500, 0.000, 0.000)
Sr (0.000, 0.500, 0.000)
Li (0.500, 0.500, 0.500)
Na (0.000, 0.000, 0.500)
O (0.000, 0.000, 0.000)

Values from the calculation:
V = 28.221 Å³/atom
Offset from the most stable computed form = 0 meV per atom
Formation energy without anion corrections = -4.6 eV/f.u.
DOS(E_F) = 2.618 states/eV/f.u.
Total moment = 0.000 μB per atom